Entry 1:
Material: AlSiOs2Pd
Method: DFT, PBE
State: optimized geometry

Summary:
For the formation energy from raw total energies, the calculation gives 1.84 eV/atom. Its symmetry is No. 123. The density of states at the Fermi level comes out at 1.15 states/eV/atom.

The structure in POSCAR format:
```
AlSiOs2Pd
1.0
4.8464 0.0000 0.0000
0.0000 4.2826 0.0000
0.0000 0.0000 4.8464
Al Os Pd Si
1 2 1 1
direct
0.5000 0.5000 0.5000
0.0000 0.0000 0.5000
0.5000 0.0000 0.0000
0.0000 0.0000 0.0000
0.0000 0.5000 0.0000
```


Entry 2:
Material: SmAl4OsPd2
Method: DFT, PBE
State: optimized geometry

Summary:
Its symmetry is No. 166. Its formation energy is -664 meV per atom. The density of states at the Fermi level comes out at 0.47 states/eV/atom.

The structure in POSCAR format:
```
SmAl4OsPd2
1.0
4.2592 0.0000 0.0000
2.1296 3.6885 0.0000
2.1296 1.2295 8.9186
Al Pd Os Sm
4 2 1 1
direct
0.4046 0.4046 0.7864
0.5954 0.5954 0.2136
0.1358 0.1358 0.5927
0.8642 0.8642 0.4073
0.2355 0.2355 0.2934
0.7645 0.7645 0.7066
0.5000 0.5000 0.5000
0.0000 0.0000 0.0000
```


Entry 3:
Material: TaAlOsPd
Method: DFT, PBE
State: optimized geometry

Summary:
Its symmetry is No. 216. Its formation energy is -435 meV per atom. The density of states at the Fermi level comes out at 0.58 states/eV/atom.

The structure in POSCAR format:
```
TaAlOsPd
1.0
4.4443 0.0000 0.0000
2.2222 3.8489 0.0000
2.2222 1.2830 3.6288
Ta Al Pd Os
1 1 1 1
direct
0.5000 0.5000 0.5000
0.0000 0.0000 0.0000
0.7500 0.7500 0.7500
0.2500 0.2500 0.2500
```


Entry 4:
Material: Al2TeOsPd
Method: DFT, PBE
State: optimized geometry

Summary:
For the formation energy from raw total energies, the calculation gives 0.53 eV/atom. Its symmetry is No. 123. The density of states at the Fermi level comes out at 1.34 states/eV/atom.

The structure in POSCAR format:
```
Al2TeOsPd
1.0
-1.3552 -0.5070 -4.5479
-4.1237 -2.3462 1.4903
-2.2976 4.1773 0.2189
Al Te Pd Os
2 1 1 1
direct
0.5000 0.0000 0.0000
0.0000 0.0000 0.5000
0.5000 0.5000 0.5000
0.0000 0.5000 0.0000
0.0000 0.0000 0.0000
```


Entry 5:
Material: TmAlOsPd
Method: DFT, PBE
State: optimized geometry

Summary:
Its symmetry is No. 216. Its formation energy is -518 meV per atom. The density of states at the Fermi level comes out at 0.35 states/eV/atom.

The structure in POSCAR format:
```
TmAlOsPd
1.0
4.5706 0.0000 0.0000
2.2853 3.9582 0.0000
2.2853 1.3194 3.7319
Os Pd Al Tm
1 1 1 1
direct
0.5000 0.5000 0.5000
0.0000 0.0000 0.0000
0.7500 0.7500 0.7500
0.2500 0.2500 0.2500
```


Entry 6:
Material: YAl2OsPd
Method: DFT, PBE
State: optimized geometry

Summary:
Its symmetry is No. 123. Its formation energy is 287 meV per atom. The density of states at the Fermi level comes out at 0.86 states/eV/atom.

The structure in POSCAR format:
```
YAl2OsPd
1.0
4.5312 0.0000 0.0000
0.0000 5.1323 0.0000
0.0000 0.0000 4.5312
Pd Al Os Y
1 2 1 1
direct
0.0000 0.0000 0.0000
0.5000 0.0000 0.0000
0.0000 0.0000 0.5000
0.0000 0.5000 0.0000
0.5000 0.5000 0.5000
```


Entry 7:
Material: AlZnOsPd2
Method: DFT, PBE
State: optimized geometry

Summary:
Its symmetry is No. 123. Its formation energy is 1031 meV per atom. The density of states at the Fermi level comes out at 0.93 states/eV/atom.

The structure in POSCAR format:
```
AlZnOsPd2
1.0
4.4251 0.0000 0.0000
0.0000 4.5174 0.0000
0.0000 0.0000 4.4251
Zn Pd Al Os
1 2 1 1
direct
0.0000 0.5000 0.0000
0.5000 0.0000 0.0000
0.0000 0.0000 0.5000
0.0000 0.0000 0.0000
0.5000 0.5000 0.5000
```


Entry 8:
Material: Pm3Al3Os2
Method: DFT, PBE
State: optimized geometry

Summary:
Its symmetry is No. 62. Its formation energy is -389 meV per atom. The density of states at the Fermi level comes out at 0.75 states/eV/atom.

The structure in POSCAR format:
```
Pm3Al3Os2
1.0
-5.9113 -0.3462 0.2127
0.1514 -5.8000 -5.2337
1.0137 -10.2850 11.4272
Al Pm Os
12 12 8
direct
0.3933 0.6718 0.2500
0.4035 0.6582 0.5352
0.5965 0.3418 0.4648
0.0965 0.1582 0.5352
0.1067 0.1718 0.2500
0.6067 0.3282 0.7500
0.0965 0.1582 0.9648
0.4035 0.6582 0.9648
0.8933 0.8282 0.7500
0.9035 0.8418 0.0352
0.5965 0.3418 0.0352
0.9035 0.8418 0.4648
0.3964 0.9658 0.3930
0.1260 0.1727 0.7500
0.6260 0.3273 0.2500
0.3964 0.9658 0.1070
0.6036 0.0342 0.8930
0.8740 0.8273 0.2500
0.3740 0.6727 0.7500
0.1036 0.4658 0.3930
0.8964 0.5342 0.6070
0.1036 0.4658 0.1070
0.6036 0.0342 0.6070
0.8964 0.5342 0.8930
0.3721 0.3636 0.8944
0.3721 0.3636 0.6056
0.8721 0.1364 0.3944
0.6279 0.6364 0.3944
0.1279 0.8636 0.8944
0.1279 0.8636 0.6056
0.6279 0.6364 0.1056
0.8721 0.1364 0.1056
```


Please write out number 4 again, unchanged.
Material: Al2TeOsPd
Method: DFT, PBE
State: optimized geometry

Summary:
For the formation energy from raw total energies, the calculation gives 0.53 eV/atom. Its symmetry is No. 123. The density of states at the Fermi level comes out at 1.34 states/eV/atom.

The structure in POSCAR format:
```
Al2TeOsPd
1.0
-1.3552 -0.5070 -4.5479
-4.1237 -2.3462 1.4903
-2.2976 4.1773 0.2189
Al Te Pd Os
2 1 1 1
direct
0.5000 0.0000 0.0000
0.0000 0.0000 0.5000
0.5000 0.5000 0.5000
0.0000 0.5000 0.0000
0.0000 0.0000 0.0000
```